Density functional theory data (PBE) for a relaxed La4PHBr2 crystal.

The structure in POSCAR format:
```
La4PHBr2
1.0
-2.8769 1.7430 -2.2513
2.4029 -3.4804 -5.7652
-5.2673 -4.5829 3.1827
La P H Br
4 1 1 2
direct
0.5000 0.2511 0.2048
0.5000 0.7489 0.7952
0.0000 0.2711 0.7903
0.0000 0.7289 0.2097
0.0000 0.0000 0.0000
0.5000 0.5000 0.0000
0.5000 0.0000 0.5000
0.0000 0.5000 0.5000
```

Results
Calculated volume = 213.5 Å³/f.u.
E = -41.08 eV per formula unit
SG = P2/m